# 1
Material: LaFeCo
Method: DFT, PBE-GGA
State: optimized geometry

Properties
SG	No. 156
ΔE_f	13.61	kcal/mol of atoms

a = 3.0928 Å, b = 3.0928 Å, c = 6.8040 Å
α = 90.00°, β = 90.00°, γ = 120.00°
Closest atoms and distances in Å follow each position.
Fractional positions:
Co1 0.0000 0.0000 0.0501  3 Fe 2.35
Fe1 0.3333 0.6667 0.2745  3 Co 2.35
La1 0.6667 0.3333 0.6754  6 La 3.09, 3 Co 3.11, 3 Fe 3.26

# 2
Material: LaFeCo
Method: DFT, PBE-GGA
State: optimized geometry

Properties
SG	No. 187
ΔE_f	0.28	kcal/mol of atoms

a = 3.9444 Å, b = 3.9444 Å, c = 4.3597 Å
α = 90.00°, β = 90.00°, γ = 120.00°
Closest atoms and distances in Å follow each position.
Fractional positions:
Co1 0.0000 0.0000 0.1667  3 Fe 2.28
Fe1 0.6667 0.3333 0.1666  3 Co 2.28
La1 0.3333 0.6667 0.6667  6 Fe 3.15, 6 Co 3.15

# 3
Material: LaFe2Co
Method: DFT, PBE-GGA
State: optimized geometry

Properties
SG	No. 141
ΔE_f	8.86	kcal/mol of atoms

a = 4.5084 Å, b = 4.5084 Å, c = 8.5579 Å
α = 74.73°, β = 74.73°, γ = 90.00°
Closest atoms and distances in Å follow each position.
Fractional positions:
Co1 0.5000 0.5000 0.0000  4 Fe 2.28
Co2 0.2500 0.7500 0.5000  4 Fe 2.28
Fe1 0.3748 0.1250 0.2500  2 Fe 2.25, 2 Co 2.28
Fe2 0.3752 0.6250 0.2500  2 Fe 2.25, 2 Co 2.28
Fe3 0.3750 0.6252 0.7500  2 Fe 2.25, 2 Co 2.28
Fe4 0.8750 0.6248 0.7500  2 Fe 2.25, 2 Co 2.28
La1 0.0000 0.0000 0.0000  4 Co 3.19, 8 Fe 3.21
La2 0.7500 0.2500 0.5000  4 Co 3.19, 8 Fe 3.21

# 4
Material: LaFeCo
Method: DFT, PBE-GGA
State: optimized geometry

Properties
SG	No. 129
ΔE_f	0.04	kcal/mol of atoms

a = 3.9620 Å, b = 3.9620 Å, c = 7.5922 Å
α = 90.00°, β = 90.00°, γ = 90.00°
Closest atoms and distances in Å follow each position.
Fractional positions:
Co1 0.5000 0.0000 0.6739  4 Fe 2.38
Co2 0.0000 0.5000 0.3261  4 Fe 2.38
La1 0.5000 0.0000 0.1822  4 Co 3.01, 4 Fe 3.12
La2 0.0000 0.5000 0.8178  4 Co 3.01, 4 Fe 3.12
Fe1 0.5000 0.5000 0.5000  4 Co 2.38
Fe2 0.0000 0.0000 0.5000  4 Co 2.38

# 5
Material: La2Fe2Co
Method: DFT, PBE-GGA
State: optimized geometry

Properties
SG	No. 127
ΔE_f	5.62	kcal/mol of atoms

a = 6.6406 Å, b = 6.6406 Å, c = 4.4595 Å
α = 90.00°, β = 90.00°, γ = 90.00°
Closest atoms and distances in Å follow each position.
Fractional positions:
Co1 0.0000 0.0000 0.0000  4 Fe 2.62
Co2 0.5000 0.5000 0.0000  4 Fe 2.62
Fe1 0.3740 0.8740 0.0000  1 Fe 2.37, 2 Co 2.62
Fe2 0.8740 0.6260 0.0000  1 Fe 2.37, 2 Co 2.62
Fe3 0.6260 0.1260 0.0000  1 Fe 2.37, 2 Co 2.62
Fe4 0.1260 0.3740 0.0000  1 Fe 2.37, 2 Co 2.62
La1 0.1843 0.6843 0.5000  6 Fe 2.85-3.06
La2 0.6843 0.8157 0.5000  6 Fe 2.85-3.06
La3 0.8157 0.3157 0.5000  6 Fe 2.85-3.06
La4 0.3157 0.1843 0.5000  6 Fe 2.85-3.06

# 6
Material: La4FeCo
Method: DFT, PBE-GGA
State: optimized geometry

Properties
SG	No. 216
ΔE_f	23.87	kcal/mol of atoms

a = 6.2777 Å, b = 6.2777 Å, c = 6.2777 Å
α = 60.00°, β = 60.00°, γ = 60.00°
Closest atoms and distances in Å follow each position.
Fractional positions:
La1 0.8752 0.3749 0.3749  6 La 3.14
La2 0.3749 0.3749 0.8752  6 La 3.14
La3 0.3749 0.8752 0.3749  6 La 3.14
La4 0.3749 0.3749 0.3749  6 La 3.14
Fe1 0.0000 0.0000 0.0000  12 La 3.68, 4 Co 3.84
Co1 0.7500 0.7500 0.7500  12 La 3.68, 4 Fe 3.84

# 7
Material: La2FeCo
Method: DFT, PBE-GGA
State: optimized geometry

Properties
SG	No. 225
ΔE_f	4.56	kcal/mol of atoms
E above lowest polymorph	0.97	eV/f.u.

a = 4.9934 Å, b = 4.9934 Å, c = 4.9934 Å
α = 60.00°, β = 60.00°, γ = 60.00°
Closest atoms and distances in Å follow each position.
Fractional positions:
Co1 0.5000 0.5000 0.5000  8 La 3.06
Fe1 0.0000 0.0000 0.0000  8 La 3.06
La1 0.2500 0.2500 0.2500  4 Co 3.06, 4 Fe 3.06
La2 0.7500 0.7500 0.7500  4 Fe 3.06, 4 Co 3.06

# 8
Material: LaFe2Co
Method: DFT, PBE-GGA
State: optimized geometry

Properties
SG	No. 44
ΔE_f	9.71	kcal/mol of atoms

a = 5.2280 Å, b = 5.2280 Å, c = 5.2280 Å
α = 144.17°, β = 127.59°, γ = 65.12°
Closest atoms and distances in Å follow each position.
Fractional positions:
Co1 0.7759 0.2759 0.5000  2 Fe 2.51
Fe1 0.9945 0.9945 0.0000  2 Co 2.51, 2 Fe 2.59
Fe2 0.2249 0.7249 0.5000  2 Fe 2.59, 4 Co 2.85
La1 0.5047 0.5047 0.0000  8 Fe 2.82-3.02, 4 Co 2.88-3.07

# 9
Material: LaFe2Co
Method: DFT, PBE-GGA
State: optimized geometry

Properties
SG	No. 10
ΔE_f	7.46	kcal/mol of atoms

a = 4.0991 Å, b = 3.1442 Å, c = 5.6304 Å
α = 75.10°, β = 90.00°, γ = 90.00°
Closest atoms and distances in Å follow each position.
Fractional positions:
Co1 0.5000 0.7500 0.7500  4 Fe 2.40
Fe1 0.0000 0.9425 0.9173  2 Fe 2.33-2.49, 2 Co 2.40
Fe2 0.0000 0.5575 0.5827  2 Fe 2.33-2.49, 2 Co 2.40
La1 0.5000 0.2500 0.2500  2 Co 2.85, 4 Fe 3.09, 2 La 3.14

# 10
Material: LaFeCo
Method: DFT, PBE-GGA
State: optimized geometry

Properties
SG	No. 107
ΔE_f	5.00	kcal/mol of atoms

a = 5.9218 Å, b = 5.9218 Å, c = 5.9218 Å
α = 148.88°, β = 148.88°, γ = 44.58°
Closest atoms and distances in Å follow each position.
Fractional positions:
Co1 0.0411 0.0411 0.0000  4 Fe 2.42
Fe1 0.6230 0.6230 0.0000  4 Co 2.42
La1 0.3360 0.3360 0.0000  5 Fe 3.15-3.24, 4 La 3.18, 5 Co 3.18-3.23

# 11
Material: La2FeCo
Method: DFT, PBE-GGA
State: optimized geometry

Properties
SG	No. 216
ΔE_f	7.64	kcal/mol of atoms
E above lowest polymorph	1.50	eV/f.u.

a = 4.8580 Å, b = 4.8580 Å, c = 4.8580 Å
α = 60.00°, β = 60.00°, γ = 60.00°
Closest atoms and distances in Å follow each position.
Fractional positions:
Co1 0.5000 0.5000 0.5000  4 La 2.97, 4 Fe 2.97
Fe1 0.2500 0.2500 0.2500  4 Co 2.97, 4 La 2.97
La1 0.0000 0.0000 0.0000  4 Fe 2.97, 4 La 2.97
La2 0.7500 0.7500 0.7500  4 La 2.97, 4 Co 2.97

# 12
Material: LaFe2Co
Method: DFT, PBE-GGA
State: optimized geometry

Properties
SG	No. 99
ΔE_f	5.69	kcal/mol of atoms

a = 3.1133 Å, b = 3.1133 Å, c = 6.8790 Å
α = 90.00°, β = 90.00°, γ = 90.00°
Closest atoms and distances in Å follow each position.
Fractional positions:
Co1 0.5000 0.5000 0.8282  5 Fe 2.36-2.49
Fe1 0.0000 0.0000 0.9971  4 Co 2.49, 4 Fe 2.51
Fe2 0.5000 0.5000 0.1713  1 Co 2.36, 4 Fe 2.51
La1 0.0000 0.0000 0.5034  4 La 3.11, 4 Co 3.14, 6 Fe 3.17-3.48

# 13
Material: LaFe2Co
Method: DFT, PBE-GGA
State: optimized geometry

Properties
SG	No. 38
ΔE_f	6.56	kcal/mol of atoms

a = 3.7842 Å, b = 3.3376 Å, c = 5.8858 Å
α = 73.58°, β = 90.00°, γ = 90.00°
Closest atoms and distances in Å follow each position.
Fractional positions:
Co1 0.5000 0.9134 0.7980  4 Fe 2.33-2.45
Fe1 0.0000 0.7925 0.0398  2 Co 2.33, 4 Fe 2.56
Fe2 0.5000 0.2553 0.1155  2 Co 2.45, 4 Fe 2.56
La1 0.0000 0.5387 0.5467  1 Fe 2.86, 4 Co 2.89

# 14
Material: LaFe2Co
Method: DFT, PBE-GGA
State: optimized geometry

Properties
SG	No. 166
ΔE_f	1.39	kcal/mol of atoms

a = 4.0658 Å, b = 4.0658 Å, c = 5.5702 Å
α = 68.56°, β = 68.56°, γ = 59.99°
Closest atoms and distances in Å follow each position.
Fractional positions:
Co1 0.2500 0.2500 0.2500  6 Fe 2.37
Fe1 0.9385 0.9385 0.1844  3 Co 2.37, 3 Fe 2.44
Fe2 0.5615 0.5615 0.3156  3 Co 2.37, 3 Fe 2.44
La1 0.7500 0.7500 0.7500  2 Fe 2.86

# 15
Material: La2FeCo
Method: DFT, PBE-GGA
State: optimized geometry

Properties
SG	No. 44
ΔE_f	2.00	kcal/mol of atoms
E above lowest polymorph	0.53	eV/f.u.

a = 6.4274 Å, b = 6.4274 Å, c = 6.4274 Å
α = 147.55°, β = 139.76°, γ = 52.61°
Closest atoms and distances in Å follow each position.
Fractional positions:
Co1 0.4355 0.4355 0.0000  2 Fe 2.27
Fe1 0.3154 0.8154 0.5000  2 Co 2.27
La1 0.0167 0.0167 0.0000  4 Co 3.00, 2 Fe 3.20, 2 La 3.33
La2 0.7325 0.2325 0.5000  4 Fe 3.00, 2 Co 3.22, 2 La 3.33

# 16
Material: LaFeCo3
Method: DFT, PBE-GGA
State: optimized geometry

Properties
SG	No. 221
ΔE_f	9.20	kcal/mol of atoms
E above lowest polymorph	0.00	eV/f.u.

a = 4.4258 Å, b = 4.4258 Å, c = 4.4258 Å
α = 90.00°, β = 90.00°, γ = 90.00°
Closest atoms and distances in Å follow each position.
Fractional positions:
Co1 0.0000 0.5000 0.0000  2 Fe 2.21
Co2 0.0000 0.0000 0.5000  2 Fe 2.21
Co3 0.5000 0.0000 0.0000  2 Fe 2.21
Fe1 0.0000 0.0000 0.0000  6 Co 2.21
La1 0.5000 0.5000 0.5000  12 Co 3.13

# 17
Material: La3FeCo
Method: DFT, PBE-GGA
State: optimized geometry

Properties
SG	No. 221
ΔE_f	7.76	kcal/mol of atoms
E above lowest polymorph	0.00	eV/f.u.

a = 5.2758 Å, b = 5.2758 Å, c = 5.2758 Å
α = 90.00°, β = 90.00°, γ = 90.00°
Closest atoms and distances in Å follow each position.
Fractional positions:
Co1 0.0000 0.0000 0.0000  6 La 2.64
Fe1 0.5000 0.5000 0.5000  12 La 3.73
La1 0.0000 0.5000 0.0000  2 Co 2.64
La2 0.0000 0.0000 0.5000  2 Co 2.64
La3 0.5000 0.0000 0.0000  2 Co 2.64

# 18
Material: LaFe2Co
Method: DFT, PBE-GGA
State: optimized geometry

Properties
SG	No. 12
ΔE_f	10.96	kcal/mol of atoms

a = 5.0869 Å, b = 5.0869 Å, c = 2.9836 Å
α = 78.02°, β = 78.02°, γ = 117.25°
Closest atoms and distances in Å follow each position.
Fractional positions:
Co1 0.0000 0.5000 0.5000  2 La 2.65, 4 Fe 2.67
Fe1 0.0000 0.0000 0.0000  2 Fe 2.65, 2 La 2.67, 2 Co 2.67
Fe2 0.5000 0.5000 0.0000  2 Fe 2.65, 2 Co 2.67, 2 La 2.67
La1 0.5000 0.0000 0.5000  2 Co 2.65, 4 Fe 2.67

# 19
Material: LaFeCo4
Method: DFT, PBE-GGA
State: optimized geometry

Properties
SG	No. 216
ΔE_f	2.87	kcal/mol of atoms

a = 4.9774 Å, b = 4.9774 Å, c = 4.9774 Å
α = 60.00°, β = 60.00°, γ = 60.00°
Closest atoms and distances in Å follow each position.
Fractional positions:
La1 0.0000 0.0000 0.0000  12 Co 2.92, 4 Fe 3.05
Fe1 0.7500 0.7500 0.7500  12 Co 2.92, 4 La 3.05
Co1 0.8706 0.3765 0.3765  6 Co 2.46-2.52
Co2 0.3765 0.3765 0.8706  6 Co 2.46-2.52
Co3 0.3765 0.8706 0.3765  6 Co 2.46-2.52
Co4 0.3765 0.3765 0.3765  6 Co 2.46-2.52

# 20
Material: LaFe2Co
Method: DFT, PBE-GGA
State: optimized geometry

Properties
SG	No. 123
ΔE_f	9.79	kcal/mol of atoms

a = 3.7618 Å, b = 3.7618 Å, c = 4.5604 Å
α = 90.00°, β = 90.00°, γ = 89.99°
Closest atoms and distances in Å follow each position.
Fractional positions:
Co1 0.0000 0.5000 0.5000  4 La 2.66, 8 Fe 2.96
Fe1 0.0000 0.0000 0.0000  4 Fe 2.66, 4 Co 2.96, 4 La 2.96
Fe2 0.5000 0.5000 0.0000  4 Fe 2.66, 4 La 2.96, 4 Co 2.96
La1 0.5000 0.0000 0.5000  4 Co 2.66, 8 Fe 2.96

# 21
Material: La2FeCo
Method: DFT, PBE-GGA
State: optimized geometry

Properties
SG	No. 122
ΔE_f	9.52	kcal/mol of atoms
E above lowest polymorph	1.83	eV/f.u.

a = 7.4471 Å, b = 7.4471 Å, c = 6.1443 Å
α = 52.70°, β = 52.70°, γ = 90.00°
Closest atoms and distances in Å follow each position.
Fractional positions:
Co1 0.0000 0.0000 0.0000  4 La 2.67
Co2 0.7500 0.2500 0.5000  4 La 2.67
Fe1 0.5000 0.5000 0.0000  4 La 2.83, 2 Co 3.17
Fe2 0.2500 0.7500 0.5000  4 La 2.83, 2 Co 3.17
La1 0.6416 0.1250 0.2500  2 Co 2.67, 2 Fe 2.83
La2 0.1084 0.6250 0.2500  2 Co 2.67, 2 Fe 2.83
La3 0.3750 0.3584 0.7500  2 Co 2.67, 2 Fe 2.83
La4 0.8750 0.8916 0.7500  2 Co 2.67, 2 Fe 2.83

# 22
Material: La2FeCo
Method: DFT, PBE-GGA
State: optimized geometry

Properties
SG	No. 38
ΔE_f	0.45	kcal/mol of atoms
E above lowest polymorph	0.26	eV/f.u.

a = 3.9308 Å, b = 4.1162 Å, c = 6.2026 Å
α = 70.63°, β = 90.00°, γ = 90.00°
Closest atoms and distances in Å follow each position.
Fractional positions:
Co1 0.0000 0.6756 0.5236  2 Fe 2.30
Fe1 0.5000 0.5735 0.7281  2 Co 2.30
La1 0.0000 0.9864 0.9025  4 Fe 3.02, 2 Co 3.02-3.03
La2 0.5000 0.2645 0.3458  4 Co 3.03, 2 Fe 3.04

# 23
Material: LaFeCo
Method: DFT, PBE-GGA
State: optimized geometry

Properties
SG	No. 216
ΔE_f	23.86	kcal/mol of atoms

a = 4.3106 Å, b = 4.3106 Å, c = 4.3106 Å
α = 60.00°, β = 60.00°, γ = 60.00°
Closest atoms and distances in Å follow each position.
Fractional positions:
Co1 0.0000 0.0000 0.0000  4 La 2.64
Fe1 0.5000 0.5000 0.5000  4 La 2.64
La1 0.7500 0.7500 0.7500  4 Fe 2.64, 4 Co 2.64

# 24
Material: LaFe2Co2
Method: DFT, PBE-GGA
State: optimized geometry

Properties
SG	No. 139
ΔE_f	0.11	kcal/mol of atoms
E above lowest polymorph	0.00	eV/f.u.

a = 3.9994 Å, b = 3.9994 Å, c = 5.7672 Å
α = 69.71°, β = 69.71°, γ = 90.00°
Closest atoms and distances in Å follow each position.
Fractional positions:
Co1 0.3796 0.3796 0.2408  4 Fe 2.39, 1 Co 2.42
Co2 0.6204 0.6204 0.7592  4 Fe 2.39, 1 Co 2.42
Fe1 0.7500 0.2500 0.5000  4 Co 2.39
Fe2 0.2500 0.7500 0.5000  4 Co 2.39
La1 0.0000 0.0000 0.0000  8 Co 3.08, 8 Fe 3.21

# 25
Material: La2FeCo
Method: DFT, PBE-GGA
State: optimized geometry

Properties
SG	No. 99
ΔE_f	4.75	kcal/mol of atoms
E above lowest polymorph	1.00	eV/f.u.

a = 3.3845 Å, b = 3.3854 Å, c = 8.1869 Å
α = 90.00°, β = 90.00°, γ = 90.00°
Closest atoms and distances in Å follow each position.
Fractional positions:
Co1 0.0000 0.0000 0.5916  4 Fe 2.45, 1 La 2.71
Fe1 0.5000 0.5000 0.6573  4 Co 2.45, 1 La 2.69
La1 0.0000 0.0000 0.9228  1 Co 2.71
La2 0.5000 0.5000 0.3284  1 Fe 2.69

# 26
Material: LaFe4Co
Method: DFT, PBE-GGA
State: optimized geometry

Properties
SG	No. 216
ΔE_f	4.92	kcal/mol of atoms

a = 5.0349 Å, b = 5.0349 Å, c = 5.0349 Å
α = 60.00°, β = 60.00°, γ = 60.00°
Closest atoms and distances in Å follow each position.
Fractional positions:
La1 0.7500 0.7500 0.7500  12 Fe 2.95, 4 Co 3.08
Fe1 0.8783 0.3739 0.3739  6 Fe 2.50-2.54
Fe2 0.3739 0.3739 0.8783  6 Fe 2.50-2.54
Fe3 0.3739 0.8783 0.3739  6 Fe 2.50-2.54
Fe4 0.3739 0.3739 0.3739  6 Fe 2.50-2.54
Co1 0.0000 0.0000 0.0000  12 Fe 2.95, 4 La 3.08

# 27
Material: LaFe2Co3
Method: DFT, PBE-GGA
State: optimized geometry

Properties
SG	No. 63
ΔE_f	0.20	kcal/mol of atoms

a = 4.6927 Å, b = 6.3169 Å, c = 6.3169 Å
α = 101.84°, β = 90.00°, γ = 90.00°
Closest atoms and distances in Å follow each position.
Fractional positions:
La1 0.7500 0.3159 0.3159  9 Co 2.96-3.12
La2 0.2500 0.6841 0.6841  9 Co 2.96-3.12
Fe1 0.0000 0.7906 0.2094  2 Fe 2.35, 6 Co 2.38-2.42
Fe2 0.5000 0.2094 0.7906  2 Fe 2.35, 6 Co 2.38-2.42
Fe3 0.0000 0.2094 0.7906  2 Fe 2.35, 6 Co 2.38-2.42
Fe4 0.5000 0.7906 0.2094  2 Fe 2.35, 6 Co 2.38-2.42
Co1 0.7500 0.9351 0.9351  4 Fe 2.42, 4 Co 2.53-2.56
Co2 0.2500 0.0649 0.0649  4 Fe 2.42, 4 Co 2.53-2.56
Co3 0.7500 0.9442 0.5358  4 Fe 2.38-2.40, 3 Co 2.52-2.53
Co4 0.2500 0.0558 0.4642  4 Fe 2.38-2.40, 3 Co 2.52-2.53
Co5 0.7500 0.5358 0.9442  4 Fe 2.38-2.40, 3 Co 2.52-2.53
Co6 0.2500 0.4642 0.0558  4 Fe 2.38-2.40, 3 Co 2.52-2.53

# 28
Material: La2FeCo
Method: DFT, PBE-GGA
State: optimized geometry

Properties
SG	No. 12
ΔE_f	4.52	kcal/mol of atoms
E above lowest polymorph	0.96	eV/f.u.

a = 4.9917 Å, b = 4.9917 Å, c = 3.5278 Å
α = 90.75°, β = 90.75°, γ = 89.99°
Closest atoms and distances in Å follow each position.
Fractional positions:
Co1 0.5000 0.0000 0.5000  8 La 3.04-3.07
Fe1 0.0000 0.5000 0.5000  8 La 3.04-3.07
La1 0.0000 0.0000 0.0000  4 Fe 3.04-3.07, 4 Co 3.04-3.07
La2 0.5000 0.5000 0.0000  4 Co 3.04-3.07, 4 Fe 3.04-3.07

# 29
Material: LaFe2Co
Method: DFT, PBE-GGA
State: optimized geometry

Properties
SG	No. 160
ΔE_f	0.98	kcal/mol of atoms

a = 4.0501 Å, b = 4.0501 Å, c = 5.5807 Å
α = 68.71°, β = 68.71°, γ = 60.02°
Closest atoms and distances in Å follow each position.
Fractional positions:
Co1 0.3127 0.3127 0.0622  6 Fe 2.35-2.45
Fe1 0.9959 0.9959 0.0126  3 Co 2.35, 3 Fe 2.38
Fe2 0.6928 0.6928 0.9217  3 Fe 2.38, 3 Co 2.44-2.45
La1 0.4987 0.4987 0.5035  1 Co 2.83, 4 Fe 2.95-3.16